No. 1
Computed, not measured: a geometry-optimized Pu2HfSi structure at the PBE level of DFT.

```
data_Pu2HfSi
_cell_length_a 4.636
_cell_length_b 4.208
_cell_length_c 4.208
_cell_angle_alpha 90.00
_cell_angle_beta 90.00
_cell_angle_gamma 90.00
_symmetry_space_group_name_H-M 'P 1'
_symmetry_Int_Tables_number 1
_symmetry_space_group_name_Hall 'P 1'
loop_
_atom_site_label
_atom_site_fract_x
_atom_site_fract_y
_atom_site_fract_z
Hf1 0.500 0.500 0.500
Pu1 0.000 0.500 0.000
Pu2 0.000 0.000 0.500
Si1 0.500 0.000 0.000
```

Crystal system ... tetragonal

No. 2
Computed, not measured: a geometry-optimized PuHfSi2 structure at the PBE level of DFT.

```
data_PuHfSi2
_cell_length_a 3.861
_cell_length_b 3.861
_cell_length_c 6.986
_cell_angle_alpha 73.96
_cell_angle_beta 73.96
_cell_angle_gamma 60.00
_symmetry_space_group_name_H-M 'P 1'
_symmetry_Int_Tables_number 1
_symmetry_space_group_name_Hall 'P 1'
loop_
_atom_site_label
_atom_site_fract_x
_atom_site_fract_y
_atom_site_fract_z
Pu1 0.500 0.500 0.500
Si1 0.744 0.744 0.768
Si2 0.256 0.256 0.232
Hf1 0.000 0.000 0.000
```

Crystal system ... trigonal
Energy above the most stable polymorph in this dataset ... 0.107 eV/atom

No. 3
Computed, not measured: a geometry-optimized SmPuHf structure at the PBE level of DFT.

```
data_SmPuHf
_cell_length_a 3.268
_cell_length_b 3.268
_cell_length_c 15.433
_cell_angle_alpha 96.08
_cell_angle_beta 96.08
_cell_angle_gamma 90.00
_symmetry_space_group_name_H-M 'P 1'
_symmetry_Int_Tables_number 1
_symmetry_space_group_name_Hall 'P 1'
loop_
_atom_site_label
_atom_site_fract_x
_atom_site_fract_y
_atom_site_fract_z
Pu1 0.141 0.141 0.282
Pu2 0.859 0.859 0.718
Sm1 0.443 0.443 0.886
Sm2 0.557 0.557 0.114
Hf1 0.285 0.285 0.569
Hf2 0.715 0.715 0.431
```

Crystal system ... tetragonal
DFT formation energy ... 0.65 eV per formula unit
Energy above the most stable polymorph in this dataset ... 0.024 eV/atom

No. 4
Computed, not measured: a geometry-optimized SmPuHf structure at the PBE level of DFT.

```
data_SmPuHf
_cell_length_a 3.339
_cell_length_b 3.339
_cell_length_c 8.302
_cell_angle_alpha 90.00
_cell_angle_beta 90.00
_cell_angle_gamma 120.00
_symmetry_space_group_name_H-M 'P 1'
_symmetry_Int_Tables_number 1
_symmetry_space_group_name_Hall 'P 1'
loop_
_atom_site_label
_atom_site_fract_x
_atom_site_fract_y
_atom_site_fract_z
Pu1 0.333 0.667 0.649
Hf1 0.667 0.333 0.341
Sm1 0.000 0.000 0.010
```

Crystal system ... trigonal
DFT formation energy ... 0.67 eV per formula unit
Energy above the most stable polymorph in this dataset ... 0.030 eV/atom

No. 5
Computed, not measured: a geometry-optimized SmPuHf structure at the PBE level of DFT.

```
data_SmPuHf
_cell_length_a 3.319
_cell_length_b 3.319
_cell_length_c 7.644
_cell_angle_alpha 102.54
_cell_angle_beta 102.54
_cell_angle_gamma 90.00
_symmetry_space_group_name_H-M 'P 1'
_symmetry_Int_Tables_number 1
_symmetry_space_group_name_Hall 'P 1'
loop_
_atom_site_label
_atom_site_fract_x
_atom_site_fract_y
_atom_site_fract_z
Hf1 0.673 0.673 0.347
Pu1 0.322 0.322 0.645
Sm1 0.004 0.004 0.009
```

Crystal system ... tetragonal
DFT formation energy ... 0.58 eV per formula unit
Energy above the most stable polymorph in this dataset ... 0.000 eV/atom

No. 6
Computed, not measured: a geometry-optimized PuHf2Sn structure at the PBE level of DFT.

```
data_PuHf2Sn
_cell_length_a 4.280
_cell_length_b 4.599
_cell_length_c 4.599
_cell_angle_alpha 90.00
_cell_angle_beta 90.00
_cell_angle_gamma 90.00
_symmetry_space_group_name_H-M 'P 1'
_symmetry_Int_Tables_number 1
_symmetry_space_group_name_Hall 'P 1'
loop_
_atom_site_label
_atom_site_fract_x
_atom_site_fract_y
_atom_site_fract_z
Hf1 0.000 0.000 0.500
Hf2 0.000 0.500 0.000
Sn1 0.500 0.000 0.000
Pu1 0.500 0.500 0.500
```

Crystal system ... tetragonal
DFT formation energy ... -0.76 eV per formula unit
Energy above the most stable polymorph in this dataset ... 0.000 eV/atom

No. 7
Computed, not measured: a geometry-optimized PuHfSn2 structure at the PBE level of DFT.

```
data_PuHfSn2
_cell_length_a 3.819
_cell_length_b 3.819
_cell_length_c 6.669
_cell_angle_alpha 90.00
_cell_angle_beta 90.00
_cell_angle_gamma 90.00
_symmetry_space_group_name_H-M 'P 1'
_symmetry_Int_Tables_number 1
_symmetry_space_group_name_Hall 'P 1'
loop_
_atom_site_label
_atom_site_fract_x
_atom_site_fract_y
_atom_site_fract_z
Hf1 0.500 0.500 0.000
Pu1 0.500 0.500 0.500
Sn1 0.000 0.000 0.224
Sn2 0.000 0.000 0.776
```

Crystal system ... tetragonal
DFT formation energy ... -1.02 eV per formula unit
Energy above the most stable polymorph in this dataset ... 0.000 eV/atom

No. 8
Computed, not measured: a geometry-optimized PuHf2Sn structure at the PBE level of DFT.

```
data_PuHf2Sn
_cell_length_a 3.630
_cell_length_b 3.630
_cell_length_c 6.870
_cell_angle_alpha 90.00
_cell_angle_beta 90.00
_cell_angle_gamma 90.00
_symmetry_space_group_name_H-M 'P 1'
_symmetry_Int_Tables_number 1
_symmetry_space_group_name_Hall 'P 1'
loop_
_atom_site_label
_atom_site_fract_x
_atom_site_fract_y
_atom_site_fract_z
Hf1 0.000 0.000 0.736
Hf2 0.000 0.000 0.264
Sn1 0.500 0.500 0.500
Pu1 0.500 0.500 0.000
```

Crystal system ... tetragonal
DFT formation energy ... -0.15 eV per formula unit
Energy above the most stable polymorph in this dataset ... 0.151 eV/atom

The following total energy values (in eV per atom) correspond, in order, to the records above: -11.238; -9.103; -9.452; -9.446; -9.476; -9.750; -8.329; -9.599.